1.
A plane-wave DFT calculation with GGA-PBE was carried out for PaNiPdN after structural relaxation.

The value obtained for the density of states at the Fermi level is 0.420 states/eV/atom. Its space group is P4/nmm.

Cell: 3.999 3.999 7.401 Å, 90.00 90.00 90.00°
Sites, in units of the cell vectors:
N: 0.500 0.500 0.000
N: 0.000 0.000 0.000
Pd: 0.000 0.000 0.500
Pd: 0.500 0.500 0.500
Pa: 0.000 0.500 0.842
Pa: 0.500 0.000 0.158
Ni: 0.000 0.500 0.283
Ni: 0.500 0.000 0.717



2.
A plane-wave DFT calculation with GGA-PBE was carried out for PmPa2NiN4 after structural relaxation.

The value obtained for the density of states at the Fermi level is 0.362 states/eV/atom. Its space group is Cmcm.

Cell: 3.491 5.982 11.450 Å, 90.00 90.00 106.97°
Sites, in units of the cell vectors:
N: 0.000 0.000 0.000
N: 0.729 0.458 0.612
N: 0.446 0.893 0.750
N: 0.729 0.458 0.888
N: 0.271 0.542 0.388
N: 0.554 0.107 0.250
N: 0.271 0.542 0.112
N: 0.000 0.000 0.500
Pm: 0.105 0.210 0.750
Pm: 0.895 0.790 0.250
Ni: 0.164 0.328 0.250
Ni: 0.836 0.672 0.750
Pa: 0.631 0.262 0.061
Pa: 0.369 0.738 0.939
Pa: 0.631 0.262 0.439
Pa: 0.369 0.738 0.561



3.
A plane-wave DFT calculation with GGA-PBE was carried out for Pm2PaNiN4 after structural relaxation.

The value obtained for the density of states at the Fermi level is 0.597 states/eV/atom. Its space group is I-42m.

Cell: 5.933 5.228 5.228 Å, 71.22 55.43 55.43°
Last column: magnetic moment on the atom in μB.
Sites, in units of the cell vectors:
Pa: 0.000 0.000 0.000  -0.04
N: 0.097 0.360 0.000  0.09
N: 0.457 0.640 0.000  0.09
N: 0.543 0.000 0.360  0.09
N: 0.903 0.000 0.640  0.09
Pm: 0.500 0.500 0.500  -0.04
Pm: 0.000 0.500 0.500  -0.04
Ni: 0.500 0.000 0.000  0.91



4.
A plane-wave DFT calculation with GGA-PBE was carried out for PmPa2NiN5 after structural relaxation.

The value obtained for the density of states at the Fermi level is 0.088 states/eV/atom. Its space group is Cmc2_1.

Cell: 3.458 7.161 10.020 Å, 90.00 90.00 103.97°
Sites, in units of the cell vectors:
N: 0.280 0.560 0.701
N: 0.480 0.959 0.776
N: 0.949 0.898 0.583
N: 0.720 0.440 0.201
N: 0.378 0.757 0.014
N: 0.622 0.243 0.514
N: 0.356 0.713 0.348
N: 0.051 0.102 0.083
N: 0.644 0.287 0.848
N: 0.520 0.041 0.276
Pa: 0.905 0.810 0.174
Pa: 0.871 0.742 0.788
Pa: 0.095 0.190 0.674
Pa: 0.129 0.258 0.288
Pm: 0.203 0.405 0.984
Pm: 0.797 0.595 0.484
Ni: 0.480 0.961 0.456
Ni: 0.520 0.039 0.956



These records have raw formation energy values of -306; -1040; -465; -879 kJ/mol of formula units, in the order they appear.